## NaSeO4 (PBE-GGA)

Data for a relaxed NaSeO4 crystal.

abc: 5.8494 4.8383 5.2109
angles: 90.00 103.14 90.00
With the nearest neighbours (Å) after each atom.
Space group P2_1/c (No. 14)
Asymmetric unit:
Na (0.0000, 0.0000, 0.0000) x2  6 O 2.32-2.50
Se (0.5000, 0.0000, 0.5000) x2  4 O 1.72-1.88
O (0.2123, 0.1100, 0.4380) x4  1 Se 1.72
O (0.4000, 0.6975, 0.6713) x4  2 Se 1.88-1.93

## Na6SeO2 (PBE-GGA)

Data for a relaxed Na6SeO2 crystal.

abc: 4.5459 4.5459 9.4102
angles: 90.00 90.00 90.00
With the nearest neighbours (Å) after each atom.
Space group P4/mmm (No. 123)
Asymmetric unit:
Na (0.0000, 0.0000, 0.0000) x1  2 O 2.51
Na (0.0000, 0.0000, 0.5000) x1  2 O 2.20
Na (0.0000, 0.5000, 0.2161) x4  2 O 2.32
Se (0.5000, 0.5000, 0.0000) x1  12 Na 3.05-3.21
O (0.0000, 0.0000, 0.2664) x2  5 Na 2.20-2.32

## Na4SeO5 (PBE-GGA)

Data for a relaxed Na4SeO5 crystal.

abc: 5.6783 10.0040 10.0264
angles: 113.34 96.25 95.72
With the nearest neighbours (Å) after each atom.
Space group P-1 (No. 2)
Asymmetric unit:
Na (0.0000, 0.0000, 0.0000) x1  4 O 2.32-2.33
Na (0.0021, 0.3976, 0.5998) x2  6 O 2.33-2.55
Na (0.0054, 0.8062, 0.2047) x2  4 O 2.28-2.41
Na (0.2449, 0.5528, 0.9379) x2  5 O 2.40-2.46
Na (0.2569, 0.9447, 0.5466) x2  5 O 2.35-2.47
Na (0.2666, 0.3591, 0.1568) x2  5 O 2.33-2.44
Na (0.2784, 0.1669, 0.3617) x2  5 O 2.29-2.47
Na (0.4945, 0.9003, 0.0950) x2  6 O 2.34-2.46
Na (0.5000, 0.5000, 0.5000) x1  4 O 2.39-2.46
Se (0.2141, 0.7797, 0.7553) x2  5 O 1.75-1.83
Se (0.4850, 0.2956, 0.7327) x2  5 O 1.74-1.82
O (0.0498, 0.3511, 0.3419) x2  1 Se 1.79
O (0.1179, 0.9462, 0.7722) x2  1 Se 1.75
O (0.1356, 0.7737, 0.9256) x2  1 Se 1.83
O (0.2101, 0.6084, 0.1909) x2  1 Se 1.82
O (0.2150, 0.1911, 0.6021) x2  1 Se 1.82
O (0.3258, 0.7291, 0.5846) x2  1 Se 1.79
O (0.3806, 0.3174, 0.8962) x2  1 Se 1.74
O (0.3972, 0.8763, 0.3164) x2  1 Se 1.81
O (0.4121, 0.4543, 0.7077) x2  1 Se 1.78
O (0.4790, 0.1577, 0.1526) x2  1 Se 1.80

energy above the lowest structure with this stoichiometry: 0 meV/atom

## Na2Se2O7 (PBE-GGA)

Data for a relaxed Na2Se2O7 crystal.

abc: 7.7336 9.5965 10.2619
angles: 90.00 107.06 90.00
With the nearest neighbours (Å) after each atom.
Space group C2/c (No. 15)
Asymmetric unit:
Na (0.0326, 0.1883, 0.4876) x8  5 O 2.33-2.41
Se (0.1953, 0.4776, 0.7128) x8  3 O 1.63-1.65
O (0.0000, 0.3946, 0.7500) x4  2 Se 1.84
O (0.1327, 0.3756, 0.1320) x8  1 Se 1.63
O (0.1512, 0.0047, 0.1376) x8  1 Se 1.65
O (0.2423, 0.3504, 0.6212) x8  1 Se 1.65

energy above the lowest structure with this stoichiometry: 12 meV/atom

## Na3SeO6 (PBE-GGA)

Data for a relaxed Na3SeO6 crystal.

abc: 5.7437 5.7437 9.5900
angles: 90.00 90.00 120.00
With the nearest neighbours (Å) after each atom.
Space group P6_322 (No. 182)
Asymmetric unit:
Na (0.0000, 0.0000, 0.0000) x2  6 O 2.50
Na (0.3333, 0.6667, 0.0796) x4  6 O 2.34-2.57
Se (0.3333, 0.6667, 0.7500) x2  6 O 1.79
O (0.0915, 0.4032, 0.6419) x12  1 Se 1.79

## NaSe2O (PBE-GGA)

Data for a relaxed NaSe2O crystal.

abc: 5.5511 5.5511 12.8053
angles: 90.00 90.00 90.00
With the nearest neighbours (Å) after each atom.
Space group I4_1/amd (No. 141, origin choice 2)
Asymmetric unit:
Na (0.0000, 0.2500, 0.3750) x4  8 Se 3.49
Se (0.0000, 0.0000, 0.0000) x8  2 O 2.12
O (0.0000, 0.2500, 0.8750) x4  4 Se 2.12

## Na2Se2O5 (PBE-GGA)

Data for a relaxed Na2Se2O5 crystal.

abc: 13.1368 3.9862 5.2877
angles: 90.00 105.09 90.00
With the nearest neighbours (Å) after each atom.
Space group C2/m (No. 12)
Asymmetric unit:
Na (0.0846, 0.0000, 0.3490) x4  3 O 2.35-2.39
Se (0.1406, 0.5000, 0.9357) x4  1 O 1.68
O (0.0000, 0.5000, 0.0000) x2  2 Se 1.96
O (0.1134, 0.5000, 0.6077) x4  1 Se 1.68
O (0.1561, 0.0000, 0.9858) x4  2 Se 2.01

## NaSeO3 (PBE-GGA)

Data for a relaxed NaSeO3 crystal.

abc: 3.7782 3.7782 3.7782
angles: 90.00 90.00 90.00
With the nearest neighbours (Å) after each atom.
Space group Pm-3m (No. 221)
Asymmetric unit:
Na (0.0000, 0.0000, 0.0000) x1  12 O 2.67
Se (0.5000, 0.5000, 0.5000) x1  6 O 1.89
O (0.0000, 0.5000, 0.5000) x3  2 Se 1.89

no.,formation energy (no corrections) (kJ per mole of atoms)
1,-55
2,-109
3,-130
4,-100
5,-80
6,-31
7,-94
8,-70